# 1
4
Lattice="3.6446 0.0000 0.0000 0.0000 4.7930 -0.0769 -1.8223 -1.9593 6.5298" Properties=species:S:1:pos:R:3 comment="meta-GGA SCAN CaCrBr2, single point on PBEsol structure" raw_formation_energy_ev_per_atom=-0.9062 m_tot_mub_per_cell=5.9 rho_g_cm3=3.68 relative_energy_ev_per_atom=0.017 e_tot_ev_per_atom=-17.65 spacegroup=Cm crystal_system=monoclinic pbc="T T T"
Ca 0.0000 0.6878 6.2745
Br 1.8223 0.5208 3.9413
Br 0.0000 0.1870 0.2827
Cr 0.0000 1.8754 2.4457


# 2
4
Lattice="-1.9162 2.4275 1.4991 0.9434 -2.4007 5.0934 3.6568 4.0903 -1.9492" Properties=species:S:1:pos:R:3 comment="meta-GGA SCAN CaCr2Br, single point on PBEsol structure" raw_formation_energy_ev_per_atom=0.2296 m_tot_mub_per_cell=9.9 rho_g_cm3=3.73 relative_energy_ev_per_atom=0.160 e_tot_ev_per_atom=-16.24 spacegroup=Cmmm crystal_system=orthorhombic pbc="T T T"
Br -0.9581 1.2137 0.7496
Cr 1.8284 2.0452 -0.9746
Cr 2.3001 0.8448 1.5721
Ca -0.4864 0.0134 3.2963


# 3
4
Lattice="3.7709 0.0000 0.0000 0.0000 3.7709 0.0000 0.0000 0.0000 7.2946" Properties=species:S:1:pos:R:3 comment="meta-GGA SCAN CaCrBr2, single point on PBEsol structure" raw_formation_energy_ev_per_atom=-0.9233 m_tot_mub_per_cell=6.0 rho_g_cm3=4.03 relative_energy_ev_per_atom=0.000 e_tot_ev_per_atom=-17.67 spacegroup=P4mm crystal_system=tetragonal pbc="T T T"
Br 1.8854 1.8854 2.1836
Br 0.0000 0.0000 6.6792
Cr 1.8854 1.8854 5.7339
Ca 0.0000 0.0000 3.6398


# 4
8
Lattice="6.0051 0.0000 0.0000 0.0000 6.0051 0.0000 -3.0025 -3.0025 6.7239" Properties=species:S:1:pos:R:3 comment="meta-GGA SCAN CaCrBr2, single point on PBEsol structure" raw_formation_energy_ev_per_atom=-0.7359 m_tot_mub_per_cell=8.8 rho_g_cm3=3.45 relative_energy_ev_per_atom=0.187 e_tot_ev_per_atom=-17.48 spacegroup=I-42d crystal_system=tetragonal pbc="T T T"
Ca 3.0025 3.0025 0.0000
Ca 3.0025 0.0000 3.3620
Cr 0.0000 3.0025 3.3620
Cr 0.0000 0.0000 0.0000
Br 1.5013 1.7260 5.0429
Br 1.2765 4.5038 1.6810
Br -1.5013 -1.7260 5.0429
Br 4.7286 1.5013 1.6810


# 5
4
Lattice="3.3169 0.0000 0.0000 0.0000 4.9714 0.0000 0.0000 0.0000 5.4607" Properties=species:S:1:pos:R:3 comment="meta-GGA SCAN CaCr2Br, single point on PBEsol structure" raw_formation_energy_ev_per_atom=0.7958 m_tot_mub_per_cell=0.0 rho_g_cm3=4.13 relative_energy_ev_per_atom=0.727 e_tot_ev_per_atom=-15.68 spacegroup=Pmmm crystal_system=orthorhombic pbc="T T T"
Cr 0.0000 0.0000 1.8350
Cr 0.0000 0.0000 3.6257
Br 1.6584 2.4857 0.0000
Ca 1.6584 2.4857 2.7303


# 6
4
Lattice="-3.6824 1.5652 -0.6226 -0.8656 -3.0422 -2.5284 0.2644 -2.2740 5.8881" Properties=species:S:1:pos:R:3 comment="meta-GGA SCAN CaCr2Br, single point on PBEsol structure" raw_formation_energy_ev_per_atom=0.0693 m_tot_mub_per_cell=9.3 rho_g_cm3=4.03 relative_energy_ev_per_atom=0.000 e_tot_ev_per_atom=-16.40 spacegroup=I4/mmm crystal_system=tetragonal pbc="T T T"
Ca 0.0000 0.0000 0.0000
Cr -2.8460 -0.7237 1.8450
Cr -1.4376 -3.0274 0.8921
Br -2.2740 -0.7385 -1.5755


# 7
4
Lattice="-1.9634 -3.2860 1.6109 -0.0387 -1.5989 -3.3089 6.6341 -0.3049 2.1107" Properties=species:S:1:pos:R:3 comment="meta-GGA SCAN CaCrBr2, single point on PBEsol structure" raw_formation_energy_ev_per_atom=-0.8593 m_tot_mub_per_cell=4.4 rho_g_cm3=4.29 relative_energy_ev_per_atom=0.064 e_tot_ev_per_atom=-17.60 spacegroup=Imm2 crystal_system=orthorhombic pbc="T T T"
Br 0.5030 -0.2453 0.1127
Br 2.1305 -3.1609 1.5025
Cr 2.6432 -2.0981 -1.0581
Ca 4.9881 -2.4328 1.1172


# 8
5
Lattice="5.5116 0.0000 0.0000 0.0000 5.5116 0.0000 0.0000 0.0000 5.5116" Properties=species:S:1:pos:R:3 comment="meta-GGA SCAN Ca3CrBr, single point on PBEsol structure" raw_formation_energy_ev_per_atom=-0.1319 m_tot_mub_per_cell=5.8 rho_g_cm3=2.50 e_tot_ev_per_atom=-13.50 spacegroup=Pm-3m crystal_system=cubic pbc="T T T"
Br 0.0000 0.0000 0.0000
Ca 0.0000 0.0000 2.7558
Ca 0.0000 2.7558 0.0000
Ca 2.7558 0.0000 0.0000
Cr 2.7558 2.7558 2.7558


# 9
5
Lattice="4.4094 0.0000 0.0000 0.0000 4.4094 0.0000 0.0000 0.0000 5.0259" Properties=species:S:1:pos:R:3 comment="meta-GGA SCAN CaCrBrO2, single point on PBEsol structure" raw_formation_energy_ev_per_atom=0.4750 m_tot_mub_per_cell=5.6 rho_g_cm3=3.47 e_tot_ev_per_atom=-11.52 spacegroup=P4/mmm crystal_system=tetragonal pbc="T T T"
O 0.0000 2.2047 0.0000
O 2.2047 0.0000 0.0000
Cr 2.2047 2.2047 2.5129
Br 0.0000 0.0000 0.0000
Ca 0.0000 0.0000 2.5129


# 10
5
Lattice="-0.9157 3.4664 2.9943 -4.5744 -0.5339 -0.7808 -0.2919 -3.7982 4.3077" Properties=species:S:1:pos:R:3 comment="meta-GGA SCAN CaZr2CrBr, single point on PBEsol structure" raw_formation_energy_ev_per_atom=0.5071 m_tot_mub_per_cell=0.0 rho_g_cm3=4.69 e_tot_ev_per_atom=-21.27 spacegroup=P4/mmm crystal_system=tetragonal pbc="T T T"
Zr -2.2872 -0.2670 -0.3904
Zr -0.4578 1.7332 1.4971
Br -0.1460 -1.8991 2.1539
Cr 0.0000 0.0000 0.0000
Ca -2.8910 -0.4329 3.2606


# 11
4
Lattice="-5.5941 -3.9221 -0.0049 0.5945 -6.7987 0.3166 -1.8425 -3.3296 5.6741" Properties=species:S:1:pos:R:3 comment="meta-GGA SCAN Cs2CaBr, single point on PBEsol structure" raw_formation_energy_ev_per_atom=-0.3702 m_tot_mub_per_cell=1.0 rho_g_cm3=2.84 e_tot_ev_per_atom=-26.56 spacegroup=Fm-3m crystal_system=cubic pbc="T T T"
Br -3.4210 -7.0252 2.9929
Ca 0.0000 0.0000 0.0000
Cs -5.1316 -10.5379 4.4894
Cs -1.7105 -3.5126 1.4965


# 12
7
Lattice="5.6113 0.0000 0.0000 0.0000 5.6113 0.0000 -2.8056 -2.8056 8.8776" Properties=species:S:1:pos:R:3 comment="meta-GGA SCAN Cs2CaBr4, single point on PBEsol structure" raw_formation_energy_ev_per_atom=-2.1518 m_tot_mub_per_cell=0.0 rho_g_cm3=3.72 e_tot_ev_per_atom=-25.45 spacegroup=I4/mmm crystal_system=tetragonal pbc="T T T"
Br 0.0000 0.0000 2.8453
Br 0.0000 2.8056 0.0000
Br 2.8056 0.0000 0.0000
Br 2.8056 2.8056 6.0323
Cs 2.8056 2.8056 2.5117
Cs 0.0000 0.0000 6.3659
Ca 0.0000 0.0000 0.0000


# 13
5
Lattice="-1.2949 0.5605 5.0309 4.7804 -4.7761 1.7626 4.7877 5.0396 0.6709" Properties=species:S:1:pos:R:3 comment="meta-GGA SCAN Cs2CaSeBr, single point on PBEsol structure" raw_formation_energy_ev_per_atom=-0.5531 m_tot_mub_per_cell=0.7 rho_g_cm3=3.03 e_tot_ev_per_atom=-25.52 spacegroup=P4/mmm crystal_system=tetragonal pbc="T T T"
Br -0.6475 0.2802 2.5155
Cs 2.3939 2.5198 0.3354
Cs 2.3902 -2.3881 0.8813
Ca 0.0000 0.0000 0.0000
Se 4.1366 0.4120 3.7322


# 14
4
Lattice="3.7403 0.0000 0.0000 0.0000 4.7466 0.0000 0.0000 0.0000 4.7466" Properties=species:S:1:pos:R:3 comment="meta-GGA SCAN CaCuBr2, single point on PBEsol structure" raw_formation_energy_ev_per_atom=-0.7883 m_tot_mub_per_cell=0.0 rho_g_cm3=5.19 e_tot_ev_per_atom=-16.73 spacegroup=P4/mmm crystal_system=tetragonal pbc="T T T"
Br 0.0000 0.0000 2.3733
Br 0.0000 2.3733 0.0000
Cu 1.8702 0.0000 0.0000
Ca 1.8702 2.3733 2.3733


# 15
6
Lattice="-0.3372 -3.7204 5.5637 5.3572 -0.5583 3.9872 0.0235 2.9562 6.0141" Properties=species:S:1:pos:R:3 comment="meta-GGA SCAN Ca4CuBr, single point on PBEsol structure" raw_formation_energy_ev_per_atom=0.3834 m_tot_mub_per_cell=1.8 rho_g_cm3=2.37 e_tot_ev_per_atom=-11.84 spacegroup=F-43m crystal_system=cubic pbc="T T T"
Br 0.0000 0.0000 0.0000
Ca 1.8945 -0.4968 5.8467
Ca 1.9062 0.9739 8.8386
Ca 4.5597 -0.7745 7.8303
Ca 1.7268 -2.3476 8.6146
Cu 3.7826 -0.9919 11.6738


# 16
3
Lattice="-0.0027 1.4574 4.6329 -2.2211 -2.6796 3.3873 2.6270 -2.4032 3.3032" Properties=species:S:1:pos:R:3 comment="meta-GGA SCAN CaCuBr, single point on PBEsol structure" raw_formation_energy_ev_per_atom=-0.2574 m_tot_mub_per_cell=0.0 rho_g_cm3=3.76 e_tot_ev_per_atom=-15.03 spacegroup=F-43m crystal_system=cubic pbc="T T T"
Cu 0.2016 -1.8127 5.6617
Ca 0.0000 0.0000 0.0000
Br 0.1008 -0.9063 2.8308


# 17
7
Lattice="3.8279 0.0000 0.0000 0.0000 3.8279 0.0000 -1.9140 -1.9140 8.6328" Properties=species:S:1:pos:R:3 comment="meta-GGA SCAN Ca2CuBr2O2, single point on PBEsol structure" raw_formation_energy_ev_per_atom=-2.1432 m_tot_mub_per_cell=0.0 rho_g_cm3=4.40 e_tot_ev_per_atom=-14.42 spacegroup=I4/mmm crystal_system=tetragonal pbc="T T T"
Ca 1.9139 1.9139 7.0863
Ca 0.0000 0.0000 1.5465
O 0.0000 1.9140 0.0000
O 1.9140 0.0000 0.0000
Cu 1.9140 1.9140 0.0000
Br 0.0000 0.0000 5.6803
Br 1.9140 1.9140 2.9525


# 18
5
Lattice="-4.3884 0.9570 -0.7790 -1.4706 -4.0543 3.3034 0.0008 3.4314 4.2116" Properties=species:S:1:pos:R:3 comment="meta-GGA SCAN Ca2CuSeBr, single point on PBEsol structure" raw_formation_energy_ev_per_atom=-0.6243 m_tot_mub_per_cell=0.0 rho_g_cm3=3.73 e_tot_ev_per_atom=-15.44 spacegroup=P4/mmm crystal_system=tetragonal pbc="T T T"
Ca -0.7353 -2.0271 1.6517
Ca 0.0004 1.7157 2.1058
Br -2.1942 0.4785 -0.3895
Se -2.9291 0.1671 3.3681
Cu 0.0000 0.0000 0.0000


# 19
5
Lattice="-2.5257 -0.1574 3.1889 2.9815 -1.5707 2.2839 1.3879 6.1730 -1.1946" Properties=species:S:1:pos:R:3 comment="meta-GGA SCAN Ca2BrF2, single point on PBEsol structure" raw_formation_energy_ev_per_atom=-3.0232 m_tot_mub_per_cell=0.9 rho_g_cm3=3.45 e_tot_ev_per_atom=-12.20 spacegroup=I4/mmm crystal_system=tetragonal pbc="T T T"
Br 0.0000 0.0000 0.0000
F 2.2987 1.8691 1.9129
F -0.4549 2.5758 2.3653
Ca 1.1315 3.7177 1.0797
Ca 0.7122 0.7272 3.1985


# 20
5
Lattice="4.9135 0.0000 0.0000 0.0000 4.9135 0.0000 0.0000 0.0000 4.9135" Properties=species:S:1:pos:R:3 comment="meta-GGA SCAN CaBr3F, single point on PBEsol structure" raw_formation_energy_ev_per_atom=-0.8766 m_tot_mub_per_cell=0.0 rho_g_cm3=4.18 e_tot_ev_per_atom=-15.19 spacegroup=Pm-3m crystal_system=cubic pbc="T T T"
Br 0.0000 2.4567 0.0000
Br 0.0000 0.0000 2.4567
Br 2.4567 0.0000 0.0000
Ca 2.4567 2.4567 2.4567
F 0.0000 0.0000 0.0000